# 1
Li3V2Si2O10 PBEsol optimized geometry; E_form (uncorrected) = -4037 kJ/mol of formula units
1.0
-3.657 1.249 -2.245
-0.538 -8.068 -3.612
-5.265 -2.793 7.024
V O Si Li
4 20 4 6
direct
0.568 0.500 0.997
0.432 0.500 0.497
0.955 0.000 0.791
0.045 0.000 0.291
0.252 0.856 0.165
0.748 0.144 0.665
0.686 0.647 0.864
0.206 0.500 0.998
0.794 0.500 0.498
0.251 0.852 0.836
0.789 0.000 0.949
0.252 0.144 0.165
0.686 0.649 0.131
0.749 0.148 0.336
0.314 0.353 0.364
0.314 0.647 0.364
0.314 0.351 0.631
0.686 0.353 0.864
0.211 0.000 0.449
0.686 0.351 0.131
0.314 0.649 0.631
0.748 0.856 0.665
0.749 0.852 0.336
0.251 0.148 0.836
0.501 0.749 0.248
0.499 0.251 0.748
0.501 0.251 0.248
0.499 0.749 0.748
0.007 0.733 0.001
0.993 0.733 0.501
0.373 0.000 0.006
0.993 0.267 0.501
0.627 0.000 0.506
0.007 0.267 0.001

# 2
HgPb3S PBEsol optimized geometry; E_form (uncorrected) = 103 kJ/mol of formula units
1.0
-2.506 3.911 -2.812
-3.740 0.418 3.914
3.036 3.744 2.501
S Hg Pb
1 1 3
direct
0.000 0.000 0.000
0.500 0.500 0.500
0.500 0.000 0.000
0.000 0.500 0.000
0.000 0.000 0.500

# 3
AlSe3Cl PBEsol optimized geometry; E_form (uncorrected) = 363 kJ/mol of formula units
1.0
4.895 0.000 0.000
0.000 4.895 0.000
0.000 0.000 4.895
Se Cl Al
3 1 1
direct
0.000 0.000 0.500
0.000 0.500 0.000
0.500 0.000 0.000
0.000 0.000 0.000
0.500 0.500 0.500

# 4
Density functional theory data (PBEsol) for a relaxed ZrCoH3 crystal.

Geometry as POSCAR:
```
ZrCoH3
1.0
-2.487 -2.316 -0.871
1.167 -2.466 3.223
-2.085 3.581 3.495
H Co Zr
6 2 2
direct
0.314 0.494 0.628
0.686 0.506 0.372
0.314 0.006 0.628
0.686 0.994 0.372
0.074 0.250 0.149
0.926 0.750 0.851
0.572 0.250 0.144
0.428 0.750 0.856
0.866 0.250 0.731
0.134 0.750 0.269
```

# 5
SrZnOs2 PBEsol optimized geometry; E_form = 761 meV per atom
1.0
2.878 0.000 0.000
0.000 5.013 0.000
-1.439 -2.506 5.058
Os Zn Sr
2 1 1
direct
0.711 0.211 0.422
0.008 0.008 0.015
0.287 0.787 0.573
0.494 0.494 0.989

# 6
NaPt3 PBEsol optimized geometry; E_form = 216 meV per atom
1.0
-2.888 2.860 -1.795
-4.313 -0.255 1.035
-1.869 3.146 2.521
Pt Na
3 1
direct
0.750 0.750 0.750
0.500 0.500 0.500
0.250 0.250 0.250
0.000 0.000 0.000

Number 1: spin magnetization 1.0 μB/f.u., total DFT energy (no corrections) -261.99 eV per cell. Number 2: spin magnetization 0.0 μB/f.u., total DFT energy (no corrections) -15.88 eV per cell. Number 3: spin magnetization 0.0 μB/f.u., total DFT energy (no corrections) -13.89 eV per cell. Number 4: spin magnetization 0.2 μB/f.u., total DFT energy (no corrections) -58.28 eV per cell. Number 5: spin magnetization 0.0 μB/f.u., total DFT energy (no corrections) -24.81 eV per cell. Number 6: spin magnetization 0.0 μB/f.u., total DFT energy (no corrections) -21.43 eV per cell.